No. 1
Computed, not measured: Ba2PrOsN6 after structural relaxation at the GGA-PBE level of DFT.

a = 6.121 Å, b = 6.127 Å, c = 6.138 Å
α = 60.65°, β = 60.35°, γ = 60.18°
Site moments in Bohr magnetons follow the coordinates.
Sites, in units of the cell vectors:
N: 0.704 0.244 0.791  0.41
N: 0.282 0.186 0.259  0.38
N: 0.251 0.238 0.802  0.39
N: 0.296 0.756 0.209  0.41
N: 0.749 0.762 0.198  0.39
N: 0.718 0.814 0.741  0.38
Os: 0.500 0.000 0.000  -0.28
Ba: 0.751 0.248 0.248  0.01
Ba: 0.249 0.752 0.752  0.01
Pr: 0.000 0.500 0.500  -0.04

The value obtained for the total energy is -6.899 eV/atom. The density comes out at 7.0 g/cm3. For the magnetic moment, the calculation gives 3.01 μB per formula unit. As for the space group: P-1 (2).

---

No. 2
Computed, not measured: Ba2PrOsN6 after structural relaxation at the GGA-PBE level of DFT.

a = 6.169 Å, b = 6.169 Å, c = 6.169 Å
α = 120.37°, β = 120.37°, γ = 89.35°
Site moments in Bohr magnetons follow the coordinates.
Sites, in units of the cell vectors:
Os: 0.500 0.500 0.000  -0.29
Pr: 0.000 0.000 0.000  -0.04
Ba: 0.750 0.250 0.500  0.01
Ba: 0.250 0.750 0.500  0.01
N: 0.244 0.311 0.555  0.39
N: 0.277 0.277 0.000  0.39
N: 0.723 0.723 0.000  0.39
N: 0.311 0.756 0.066  0.40
N: 0.756 0.689 0.445  0.39
N: 0.689 0.244 0.934  0.40

The value obtained for the total energy is -6.900 eV/atom. The density comes out at 6.9 g/cm3. For the magnetic moment, the calculation gives 3.02 μB per formula unit. As for the space group: I4/m (87).

---

No. 3
Computed, not measured: Ba2PrOsN6 after structural relaxation at the GGA-PBE level of DFT.

a = 6.122 Å, b = 6.122 Å, c = 6.207 Å
α = 120.10°, β = 120.10°, γ = 59.87°
Site moments in Bohr magnetons follow the coordinates.
Sites, in units of the cell vectors:
Ba: 0.752 0.752 0.754  0.01
Ba: 0.248 0.248 0.246  0.01
N: 0.750 0.300 0.804  0.37
N: 0.722 0.722 0.269  0.38
N: 0.278 0.278 0.731  0.38
N: 0.300 0.750 0.804  0.42
N: 0.250 0.700 0.196  0.37
N: 0.700 0.250 0.196  0.42
Pr: 0.000 0.000 0.500  -0.04
Os: 0.500 0.500 0.000  -0.29

The value obtained for the total energy is -6.898 eV/atom. The density comes out at 7.0 g/cm3. For the magnetic moment, the calculation gives 3.02 μB per formula unit. As for the space group: C2/m (12).

---

No. 4
Computed, not measured: Ba2TbOsN6 after structural relaxation at the GGA-PBE level of DFT.

a = 6.035 Å, b = 6.036 Å, c = 6.039 Å
α = 60.04°, β = 60.07°, γ = 60.02°
Site moments in Bohr magnetons follow the coordinates.
Sites, in units of the cell vectors:
Os: 0.500 0.000 0.000  -0.12
Tb: 0.000 0.500 0.500  -0.01
N: 0.728 0.228 0.771  0.17
N: 0.728 0.772 0.228  0.17
N: 0.728 0.771 0.772  0.17
N: 0.272 0.229 0.228  0.17
N: 0.272 0.772 0.229  0.17
N: 0.272 0.228 0.772  0.17
Ba: 0.250 0.749 0.751  0.01
Ba: 0.750 0.251 0.249  0.01

The value obtained for the total energy is -6.989 eV/atom. The density comes out at 7.5 g/cm3. For the magnetic moment, the calculation gives 1.26 μB per formula unit. As for the space group: P-1 (2).

---

No. 5
Computed, not measured: Ba2TmOsN6 after structural relaxation at the GGA-PBE level of DFT.

a = 5.978 Å, b = 5.978 Å, c = 5.978 Å
α = 120.01°, β = 120.01°, γ = 89.98°
Sites, in units of the cell vectors:
N: 0.269 0.269 0.000
N: 0.265 0.273 0.538
N: 0.273 0.735 0.008
N: 0.735 0.727 0.462
N: 0.727 0.265 0.992
N: 0.731 0.731 0.000
Ba: 0.750 0.250 0.500
Ba: 0.250 0.750 0.500
Os: 0.500 0.500 0.000
Tm: 0.000 0.000 0.000

The value obtained for the total energy is -7.014 eV/atom. The density comes out at 7.9 g/cm3. For the magnetic moment, the calculation gives 0.07 μB per formula unit. As for the space group: I4/m (87).

---

No. 6
Computed, not measured: Ba2YOsN6 after structural relaxation at the GGA-PBE level of DFT.

a = 6.019 Å, b = 6.023 Å, c = 6.025 Å
α = 90.04°, β = 119.92°, γ = 119.97°
Sites, in units of the cell vectors:
N: 0.497 0.271 0.767
N: 0.501 0.731 0.773
N: 0.958 0.727 0.227
N: 0.499 0.269 0.227
N: 0.042 0.273 0.773
N: 0.503 0.729 0.233
Ba: 0.000 0.750 0.750
Ba: 0.000 0.250 0.250
Y: 0.500 0.000 0.500
Os: 0.500 0.500 0.000

The value obtained for the total energy is -7.177 eV/atom. The density comes out at 6.8 g/cm3. For the magnetic moment, the calculation gives 0.06 μB per formula unit. As for the space group: C2/m (12).